Ca2PaBe2N4: optimized geometry, PBE.

Geometry as CIF:
```
data_Ca2PaBe2N4
_chemical_formula_sum 'Ca2 Pa1 Be2 N4'
_space_group_name_H-M_alt 'P 1'
_space_group_IT_number 1
_cell_length_a 3.222
_cell_length_b 6.653
_cell_length_c 6.358
_cell_angle_alpha 119.22
_cell_angle_beta 104.68
_cell_angle_gamma 90.00
loop_
_space_group_symop_operation_xyz
'x,y,z'
loop_
_atom_site_label
_atom_site_fract_x
_atom_site_fract_y
_atom_site_fract_z
N1 0.515 0.749 0.030
N2 0.215 0.129 0.429
N3 0.485 0.251 0.970
N4 0.785 0.871 0.571
Be1 0.325 0.040 0.651
Be2 0.675 0.960 0.349
Ca1 0.869 0.409 0.737
Ca2 0.131 0.591 0.263
Pa1 0.000 0.000 0.000
```

Values from the calculation:
Its volume is 12.6 Å³ per atom. As for the energy relative to the elements, uncorrected: -1.061 eV per atom. For the total energy, the calculation gives -63.80 eV per cell. The crystal system is monoclinic.